Record 1
# PBE SiSNO2, relaxed
# * raw formation energy: 0.65 eV per atom
# * symmetry: P4/mmm
# * total magnetization: 0.0 Bohr magnetons per cell
data_SiSNO2
_chemical_formula_sum 'Si1 S1 N1 O2'
_cell_length_a 3.575
_cell_length_b 3.575
_cell_length_c 3.927
_cell_angle_alpha 90.00
_cell_angle_beta 90.00
_cell_angle_gamma 90.00
_space_group_name_H-M_alt 'P 1'
_space_group_IT_number 1
loop_
_space_group_symop_operation_xyz
'x,y,z'
loop_
_atom_site_label
_atom_site_fract_x
_atom_site_fract_y
_atom_site_fract_z
S1 0.000 0.000 0.000
Si1 0.500 0.500 0.500
O1 0.000 0.500 0.000
O2 0.500 0.000 0.000
N1 0.000 0.000 0.500

=====

Record 2
# PBE ZnCo2Os, relaxed
# * symmetry: C2/m
# * total DFT energy (no corrections): -0.238 hartree per atom
# * total magnetization: 1.8 Bohr magnetons per cell
data_ZnCo2Os
_chemical_formula_sum 'Zn1 Co2 Os1'
_cell_length_a 4.417
_cell_length_b 4.417
_cell_length_c 4.583
_cell_angle_alpha 81.90
_cell_angle_beta 81.90
_cell_angle_gamma 34.27
_space_group_name_H-M_alt 'P 1'
_space_group_IT_number 1
loop_
_space_group_symop_operation_xyz
'x,y,z'
loop_
_atom_site_label
_atom_site_fract_x
_atom_site_fract_y
_atom_site_fract_z
Co1 0.003 0.003 0.986
Co2 0.497 0.497 0.514
Os1 0.750 0.750 0.750
Zn1 0.250 0.250 0.250

=====

Record 3
# PBE Dy8Ge3Se3S, relaxed
# * raw formation energy: -1.35 eV per atom
# * symmetry: R-3m
# * total magnetization: 0.0 Bohr magnetons per cell
data_Dy8Ge3Se3S
_chemical_formula_sum 'Dy8 Ge3 Se3 S1'
_cell_length_a 8.171
_cell_length_b 8.170
_cell_length_c 8.146
_cell_angle_alpha 120.10
_cell_angle_beta 90.00
_cell_angle_gamma 120.00
_space_group_name_H-M_alt 'P 1'
_space_group_IT_number 1
loop_
_space_group_symop_operation_xyz
'x,y,z'
loop_
_atom_site_label
_atom_site_fract_x
_atom_site_fract_y
_atom_site_fract_z
Dy1 0.253 0.507 0.260
Dy2 0.747 0.493 0.740
Dy3 0.752 0.505 0.261
Dy4 0.248 0.495 0.739
Dy5 0.753 0.008 0.261
Dy6 0.247 0.992 0.739
Dy7 0.256 0.008 0.261
Dy8 0.744 0.992 0.739
Ge1 0.500 0.000 0.500
Ge2 0.500 0.500 0.500
Ge3 0.000 0.500 0.500
Se1 0.000 0.000 0.000
Se2 0.000 0.500 0.000
Se3 0.500 0.500 0.000
S1 0.000 0.000 0.500

=====

Record 4
# PBE CsKMgC2, relaxed
# * symmetry: P4/mmm
# * total DFT energy (no corrections): -0.095 hartree per atom
# * total magnetization: 0.2 Bohr magnetons per cell
data_CsKMgC2
_chemical_formula_sum 'Cs1 K1 Mg1 C2'
_cell_length_a 4.527
_cell_length_b 5.518
_cell_length_c 4.527
_cell_angle_alpha 90.00
_cell_angle_beta 90.00
_cell_angle_gamma 90.00
_space_group_name_H-M_alt 'P 1'
_space_group_IT_number 1
loop_
_space_group_symop_operation_xyz
'x,y,z'
loop_
_atom_site_label
_atom_site_fract_x
_atom_site_fract_y
_atom_site_fract_z
Cs1 0.500 0.500 0.500
C1 0.000 0.000 0.500
C2 0.500 0.000 0.000
K1 0.000 0.500 0.000
Mg1 0.000 0.000 0.000

=====

Question: total magnetization of number 2 (ZnCo2Os)?
Answer: 1.8 Bohr magnetons per cell